Entry from Alexandria via LeMat-Bulk: a relaxed structure of K2SrVF6 (PBE with a Hubbard U).

Its crystal system is monoclinic. The calculation puts the total magnetic moment at 6.000 μB per cell. The total energy is -106.9 eV per cell.

It has space group P2_1/c (No. 14), with a = 6.191 Å, b = 6.312 Å, c = 10.717 Å, α = 90.00°, β = 124.67° and γ = 90.00°. Symmetry generates all atoms from K at (0.238, 0.042, 0.249), Sr at (0.500, 0.000, 0.000), V at (0.000, 0.000, 0.500), F at (0.145, 0.225, 0.953), F at (0.231, 0.696, 0.956) and F at (0.319, 0.029, 0.734).


Entry from Alexandria via LeMat-Bulk: a relaxed structure of K2SrWF8 (PBE with a Hubbard U).

Its crystal system is triclinic. The calculation puts the total magnetic moment at 2.000 μB per cell. The total energy is -62.8 eV per cell.

It has space group P-1 (No. 2), with a = 4.286 Å, b = 6.146 Å, c = 7.920 Å, α = 90.85°, β = 90.03° and γ = 95.75°. Symmetry generates all atoms from K at (0.004, 0.495, 0.251), Sr at (0.500, 0.000, 0.000), W at (0.500, 0.000, 0.500), F at (0.002, 0.771, 0.006), F at (0.098, 0.805, 0.504), F at (0.416, 0.197, 0.699) and F at (0.428, 0.197, 0.294).